(1)
# K2ZrSe

A relaxed K2ZrSe crystal (PBE, Alexandria).

```
K2ZrSe
1.0
-0.949 1.862 4.223
1.126 -4.087 2.056
5.477 1.742 0.463
K Se Zr
2 1 1
Direct
0.000 0.000 0.011
0.000 0.000 0.489
0.500 0.500 0.250
0.500 0.500 0.750
```

* formation energy (no corrections): 0.117 eV/atom

---

(2)
# PuPaAgO6

A relaxed PuPaAgO6 crystal (PBE, Alexandria).

```
PuPaAgO6
1.0
-4.138 4.182 0.628
-1.399 -5.202 -2.446
-2.198 -3.471 8.639
Pu Pa Ag O
2 2 2 12
Direct
0.667 0.333 0.250
0.333 0.667 0.750
0.333 0.667 0.250
0.667 0.333 0.750
0.000 0.000 0.000
0.000 0.000 0.500
0.637 0.624 0.142
0.987 0.363 0.142
0.363 0.987 0.642
0.013 0.637 0.858
0.376 0.363 0.358
0.987 0.624 0.358
0.624 0.987 0.858
0.637 0.013 0.358
0.013 0.376 0.642
0.376 0.013 0.142
0.624 0.637 0.642
0.363 0.376 0.858
```

* formation energy (no corrections): -2.397 eV/atom

---

Number 1: magnetization 2.4 Bohr magnetons per cell. Number 2: magnetization 4.0 Bohr magnetons per cell.